The following is a PBE+U calculation of a geometry-optimized BaMnTeO structure, from Alexandria.

Calculated values
total DFT energy (no corrections) = -5.808 eV per atom

Cell lengths 5.0457, 5.0457, 4.3005 Å; angles 90.00, 90.00, 120.00 degrees
Space group P-6m2 (No. 187)
Symmetry-distinct sites (fractional):
Ba1 0.0000 0.0000 0.0000 [1 per cell]
Mn1 0.3333 0.6667 0.5000 [1 per cell]
Te1 0.6667 0.3333 0.5000 [1 per cell]
O1 0.3333 0.6667 0.0000 [1 per cell]